--- A ---
Below is ZnPIrO2 after structural relaxation, with properties calculated at the PBE level.

Cell lengths 3.5455, 3.5455, 6.8882 Å; angles 90.00, 90.00, 90.00 degrees
Space group P4/mmm (No. 123)
Inequivalent atoms, fractional coordinates:
Zn 0.0000 0.0000 0.0000 [1 per cell]
P 0.0000 0.0000 0.5000 [1 per cell]
Ir 0.5000 0.5000 0.5000 [1 per cell]
O 0.0000 0.5000 0.0000 [2 per cell]

Properties
Its total moment is 1.537 μB per formula unit. Its density of states at the Fermi level is 3.61 states/eV/f.u. As for the volume: 86.6 Å³/cell.



--- B ---
Below is ZnPIrO2 after structural relaxation, with properties calculated at the PBE level.

Cell lengths 3.7479, 3.7479, 5.3259 Å; angles 90.00, 90.00, 90.00 degrees
Space group P4/mmm (No. 123)
Inequivalent atoms, fractional coordinates:
Zn 0.0000 0.0000 0.0000 [1 per cell]
P 0.5000 0.5000 0.0000 [1 per cell]
Ir 0.5000 0.5000 0.5000 [1 per cell]
O 0.0000 0.5000 0.5000 [2 per cell]

Properties
Its total moment is 0.000 μB per formula unit. Its density of states at the Fermi level is 1.76 states/eV/f.u. As for the volume: 74.8 Å³/cell.



Most stable to least stable, the ends of the list are B and A.



--- A ---
Below is Pa2IrO after structural relaxation, with properties calculated at the PBE level.

Cell lengths 3.0950, 3.0950, 7.2132 Å; angles 90.00, 90.00, 90.00 degrees
Space group P4/mmm (No. 123)
Inequivalent atoms, fractional coordinates:
Pa 0.0000 0.0000 0.2234 [2 per cell]
Ir 0.5000 0.5000 0.5000 [1 per cell]
O 0.5000 0.5000 0.0000 [1 per cell]

Properties
Its total moment is 0.001 μB per formula unit. Its density of states at the Fermi level is 6.17 states/eV/f.u. As for the volume: 69.1 Å³/cell.



--- B ---
Below is Pa2IrO after structural relaxation, with properties calculated at the PBE level.

Cell lengths 3.6386, 3.6386, 19.7844 Å; angles 90.00, 90.00, 120.00 degrees
Space group R-3m (No. 166, hexagonal axes)
Inequivalent atoms, fractional coordinates:
Pa 0.0000 0.0000 0.2382 [6 per cell]
Ir 0.0000 0.0000 0.0000 [3 per cell]
O 0.0000 0.0000 0.5000 [3 per cell]

Properties
Its total moment is 0.000 μB per formula unit. Its density of states at the Fermi level is 4.46 states/eV/f.u. As for the volume: 226.8 Å³/cell.



Most stable to least stable, the ends of the list are B and A.



--- A ---
Below is Ir3PbO after structural relaxation, with properties calculated at the PBE level.

Cell lengths 5.0639, 5.0639, 5.0639 Å; angles 90.00, 90.00, 90.00 degrees
Space group Pm-3m (No. 221)
Inequivalent atoms, fractional coordinates:
Ir 0.0000 0.0000 0.5000 [3 per cell]
Pb 0.0000 0.0000 0.0000 [1 per cell]
O 0.5000 0.5000 0.5000 [1 per cell]

Properties
Its total moment is 4.767 μB per formula unit. Its density of states at the Fermi level is 5.42 states/eV/f.u. As for the volume: 129.9 Å³/cell.



--- B ---
Below is Ir3PbO after structural relaxation, with properties calculated at the PBE level.

Cell lengths 4.2999, 4.2999, 4.2999 Å; angles 90.00, 90.00, 90.00 degrees
Space group Pm-3m (No. 221)
Inequivalent atoms, fractional coordinates:
Ir 0.0000 0.0000 0.5000 [3 per cell]
Pb 0.5000 0.5000 0.5000 [1 per cell]
O 0.0000 0.0000 0.0000 [1 per cell]

Properties
Its total moment is 0.000 μB per formula unit. Its density of states at the Fermi level is 7.28 states/eV/f.u. As for the volume: 79.5 Å³/cell.



Most stable to least stable, the ends of the list are B and A.



--- A ---
Below is IrPb3O after structural relaxation, with properties calculated at the PBE level.

Cell lengths 5.2620, 5.2620, 5.2620 Å; angles 90.00, 90.00, 90.00 degrees
Space group Pm-3m (No. 221)
Inequivalent atoms, fractional coordinates:
Ir 0.0000 0.0000 0.0000 [1 per cell]
Pb 0.0000 0.0000 0.5000 [3 per cell]
O 0.5000 0.5000 0.5000 [1 per cell]

Properties
Its total moment is 0.000 μB per formula unit. Its density of states at the Fermi level is 3.84 states/eV/f.u. As for the volume: 145.7 Å³/cell.



--- B ---
Below is IrPb3O after structural relaxation, with properties calculated at the PBE level.

Cell lengths 4.8616, 4.8616, 4.8616 Å; angles 90.00, 90.00, 90.00 degrees
Space group Pm-3m (No. 221)
Inequivalent atoms, fractional coordinates:
Ir 0.0000 0.0000 0.0000 [1 per cell]
Pb 0.0000 0.5000 0.5000 [3 per cell]
O 0.5000 0.5000 0.5000 [1 per cell]

Properties
Its total moment is 0.000 μB per formula unit. Its density of states at the Fermi level is 4.22 states/eV/f.u. As for the volume: 114.9 Å³/cell.



Most stable to least stable, the ends of the list are B and A.



--- A ---
Below is Ir2PbO after structural relaxation, with properties calculated at the PBE level.

Cell lengths 4.8340, 4.8340, 13.0219 Å; angles 90.00, 90.00, 90.00 degrees
Space group I-42d (No. 122)
Inequivalent atoms, fractional coordinates:
Ir 0.0763 0.2500 0.1250 [8 per cell]
Pb 0.0000 0.0000 0.5000 [4 per cell]
O 0.0000 0.0000 0.0000 [4 per cell]

Properties
Its total moment is 0.000 μB per formula unit. Its density of states at the Fermi level is 0.82 states/eV/f.u. As for the volume: 304.3 Å³/cell.



--- B ---
Below is Ir2PbO after structural relaxation, with properties calculated at the PBE level.

Cell lengths 6.2983, 6.2983, 6.2983 Å; angles 90.00, 90.00, 90.00 degrees
Space group Fm-3m (No. 225)
Inequivalent atoms, fractional coordinates:
Ir 0.2500 0.2500 0.2500 [8 per cell]
Pb 0.0000 0.0000 0.0000 [4 per cell]
O 0.0000 0.0000 0.5000 [4 per cell]

Properties
Its total moment is 0.214 μB per formula unit. Its density of states at the Fermi level is 4.69 states/eV/f.u. As for the volume: 249.8 Å³/cell.



Most stable to least stable, the ends of the list are A and B.



--- A ---
Below is Ir3PdO after structural relaxation, with properties calculated at the PBE level.

Cell lengths 4.1340, 4.1340, 4.1340 Å; angles 90.00, 90.00, 90.00 degrees
Space group Pm-3m (No. 221)
Inequivalent atoms, fractional coordinates:
Ir 0.0000 0.0000 0.5000 [3 per cell]
Pd 0.5000 0.5000 0.5000 [1 per cell]
O 0.0000 0.0000 0.0000 [1 per cell]

Properties
Its total moment is 0.000 μB per formula unit. Its density of states at the Fermi level is 9.38 states/eV/f.u. As for the volume: 70.7 Å³/cell.



--- B ---
Below is Ir3PdO after structural relaxation, with properties calculated at the PBE level.

Cell lengths 4.7927, 4.7927, 4.7927 Å; angles 90.00, 90.00, 90.00 degrees
Space group Pm-3m (No. 221)
Inequivalent atoms, fractional coordinates:
Ir 0.0000 0.0000 0.5000 [3 per cell]
Pd 0.0000 0.0000 0.0000 [1 per cell]
O 0.5000 0.5000 0.5000 [1 per cell]

Properties
Its total moment is 6.346 μB per formula unit. Its density of states at the Fermi level is 8.98 states/eV/f.u. As for the volume: 110.1 Å³/cell.



Most stable to least stable, the ends of the list are A and B.



--- A ---
Below is PmIrO4 after structural relaxation, with properties calculated at the PBE level.

Cell lengths 7.6978, 5.4810, 7.5263 Å; angles 90.00, 99.82, 90.00 degrees
Space group P2_1/c (No. 14)
Inequivalent atoms, fractional coordinates:
Pm 0.1540 0.2190 0.3969 [4 per cell]
Ir 0.3409 0.7285 0.2027 [4 per cell]
O 0.1163 0.5246 0.1744 [4 per cell]
O 0.1858 0.0038 0.1251 [4 per cell]
O 0.3359 0.6346 0.9480 [4 per cell]
O 0.4431 0.0873 0.8039 [4 per cell]

Properties
Its total moment is 0.760 μB per formula unit. Its density of states at the Fermi level is 4.20 states/eV/f.u. As for the volume: 312.9 Å³/cell.



--- B ---
Below is PmIrO4 after structural relaxation, with properties calculated at the PBE level.

Cell lengths 5.4021, 5.3808, 5.2928 Å; angles 90.00, 97.03, 90.00 degrees
Space group P2_1/c (No. 14)
Inequivalent atoms, fractional coordinates:
Pm 0.0000 0.0000 0.0000 [2 per cell]
Ir 0.5000 0.0000 0.5000 [2 per cell]
O 0.1820 0.1424 0.3997 [4 per cell]
O 0.3522 0.7050 0.2774 [4 per cell]

Properties
Its total moment is 1.848 μB per formula unit. Its density of states at the Fermi level is 3.09 states/eV/f.u. As for the volume: 152.7 Å³/cell.



Most stable to least stable, the ends of the list are A and B.



--- A ---
Below is Pm4Ir2O after structural relaxation, with properties calculated at the PBE level.

Cell lengths 17.4985, 4.1111, 12.4269 Å; angles 90.00, 121.16, 90.00 degrees
Space group C2/m (No. 12)
Inequivalent atoms, fractional coordinates:
Pm 0.0504 0.0000 0.2602 [4 per cell]
Pm 0.0785 0.5000 0.6508 [4 per cell]
Pm 0.1980 0.0000 0.0776 [4 per cell]
Pm 0.2505 0.0000 0.6365 [4 per cell]
Ir 0.1142 0.5000 0.4432 [4 per cell]
Ir 0.1695 0.0000 0.8194 [4 per cell]
O 0.1705 0.0000 0.2394 [4 per cell]

Properties
Its total moment is 0.000 μB per formula unit. Its density of states at the Fermi level is 3.53 states/eV/f.u. As for the volume: 765.0 Å³/cell.



--- B ---
Below is Pm4Ir2O after structural relaxation, with properties calculated at the PBE level.

Cell lengths 6.7666, 6.8703, 7.8312 Å; angles 90.00, 106.54, 90.00 degrees
Space group P2_1/m (No. 11)
Inequivalent atoms, fractional coordinates:
Pm 0.0083 0.0050 0.2470 [4 per cell]
Pm 0.4440 0.2500 0.5987 [2 per cell]
Pm 0.4561 0.2500 0.1272 [2 per cell]
Ir 0.2260 0.7500 0.5521 [2 per cell]
Ir 0.2339 0.7500 0.0621 [2 per cell]
O 0.2382 0.2500 0.3076 [2 per cell]

Properties
Its total moment is 0.000 μB per formula unit. Its density of states at the Fermi level is 3.74 states/eV/f.u. As for the volume: 349.0 Å³/cell.



Most stable to least stable, the ends of the list are B and A.



--- A ---
Below is PmIrO6 after structural relaxation, with properties calculated at the PBE level.

Cell lengths 5.7544, 6.7004, 5.0141 Å; angles 90.00, 100.54, 90.00 degrees
Space group C2/m (No. 12)
Inequivalent atoms, fractional coordinates:
Pm 0.0000 0.0000 0.0000 [2 per cell]
Ir 0.0000 0.5000 0.5000 [2 per cell]
O 0.1281 0.3083 0.7671 [8 per cell]
O 0.2176 0.0000 0.6308 [4 per cell]

Properties
Its total moment is 0.000 μB per formula unit. Its density of states at the Fermi level is 3.92 states/eV/f.u. As for the volume: 190.1 Å³/cell.



--- B ---
Below is PmIrO6 after structural relaxation, with properties calculated at the PBE level.

Cell lengths 3.9366, 4.8737, 5.3195 Å; angles 77.99, 89.47, 81.25 degrees
Space group P-1 (No. 2)
Inequivalent atoms, fractional coordinates:
Pm 0.0000 0.0000 0.0000 [1 per cell]
Ir 0.5000 0.5000 0.5000 [1 per cell]
O 0.1176 0.7064 0.6713 [2 per cell]
O 0.1596 0.4527 0.2343 [2 per cell]
O 0.4702 0.1596 0.7525 [2 per cell]

Properties
Its total moment is 1.879 μB per formula unit. Its density of states at the Fermi level is 2.27 states/eV/f.u. As for the volume: 98.6 Å³/cell.



Most stable to least stable, the ends of the list are B and A.



--- A ---
Below is Pm2IrO after structural relaxation, with properties calculated at the PBE level.

Cell lengths 5.9224, 5.6770, 11.3794 Å; angles 90.00, 114.88, 90.00 degrees
Space group P2/c (No. 13)
Inequivalent atoms, fractional coordinates:
Pm 0.0435 0.2393 0.1005 [4 per cell]
Pm 0.3308 0.2251 0.8599 [4 per cell]
Ir 0.4165 0.2760 0.3511 [4 per cell]
O 0.0378 0.1790 0.6196 [4 per cell]

Properties
Its total moment is 0.000 μB per formula unit. Its density of states at the Fermi level is 1.42 states/eV/f.u. As for the volume: 347.1 Å³/cell.



--- B ---
Below is Pm2IrO after structural relaxation, with properties calculated at the PBE level.

Cell lengths 3.2266, 3.2266, 7.0624 Å; angles 90.00, 90.00, 90.00 degrees
Space group P4/mmm (No. 123)
Inequivalent atoms, fractional coordinates:
Pm 0.0000 0.0000 0.2281 [2 per cell]
Ir 0.5000 0.5000 0.5000 [1 per cell]
O 0.5000 0.5000 0.0000 [1 per cell]

Properties
Its total moment is 0.000 μB per formula unit. Its density of states at the Fermi level is 2.37 states/eV/f.u. As for the volume: 73.5 Å³/cell.



Most stable to least stable, the ends of the list are A and B.



--- A ---
Below is Pm6Ir3O after structural relaxation, with properties calculated at the PBE level.

Cell lengths 11.0889, 14.0447, 6.8274 Å; angles 90.00, 90.00, 90.00 degrees
Space group Cmc2_1 (No. 36)
Inequivalent atoms, fractional coordinates:
Pm 0.0000 0.0493 0.0000 [4 per cell]
Pm 0.0000 0.2228 0.4679 [4 per cell]
Pm 0.1592 0.2715 0.9496 [8 per cell]
Pm 0.1671 0.4748 0.4545 [8 per cell]
Ir 0.0000 0.3940 0.7353 [4 per cell]
Ir 0.1692 0.1059 0.6762 [8 per cell]
O 0.0000 0.2048 0.1243 [4 per cell]

Properties
Its total moment is 0.000 μB per formula unit. Its density of states at the Fermi level is 5.55 states/eV/f.u. As for the volume: 1063.3 Å³/cell.



--- B ---
Below is Pm6Ir3O after structural relaxation, with properties calculated at the PBE level.

Cell lengths 6.7094, 7.4370, 11.8071 Å; angles 90.00, 122.30, 90.00 degrees
Space group P2_1/c (No. 14)
Inequivalent atoms, fractional coordinates:
Pm 0.0967 0.0444 0.2387 [4 per cell]
Pm 0.2335 0.6812 0.0767 [4 per cell]
Pm 0.3736 0.1679 0.0628 [4 per cell]
Ir 0.3085 0.1102 0.7681 [4 per cell]
Ir 0.5000 0.0000 0.5000 [2 per cell]
O 0.0000 0.0000 0.0000 [2 per cell]

Properties
Its total moment is 0.000 μB per formula unit. Its density of states at the Fermi level is 6.32 states/eV/f.u. As for the volume: 498.0 Å³/cell.



Most stable to least stable, the ends of the list are A and B.



--- A ---
Below is IrPt3O after structural relaxation, with properties calculated at the PBE level.

Cell lengths 4.2081, 4.2081, 4.2081 Å; angles 90.00, 90.00, 90.00 degrees
Space group Pm-3m (No. 221)
Inequivalent atoms, fractional coordinates:
Ir 0.0000 0.0000 0.0000 [1 per cell]
Pt 0.0000 0.5000 0.5000 [3 per cell]
O 0.5000 0.5000 0.5000 [1 per cell]

Properties
Its total moment is 0.000 μB per formula unit. Its density of states at the Fermi level is 6.78 states/eV/f.u. As for the volume: 74.5 Å³/cell.



--- B ---
Below is IrPt3O after structural relaxation, with properties calculated at the PBE level.

Cell lengths 4.8182, 4.8182, 4.8182 Å; angles 90.00, 90.00, 90.00 degrees
Space group Pm-3m (No. 221)
Inequivalent atoms, fractional coordinates:
Ir 0.0000 0.0000 0.0000 [1 per cell]
Pt 0.0000 0.0000 0.5000 [3 per cell]
O 0.5000 0.5000 0.5000 [1 per cell]

Properties
Its total moment is 0.000 μB per formula unit. Its density of states at the Fermi level is 11.33 states/eV/f.u. As for the volume: 111.9 Å³/cell.



Most stable to least stable, the ends of the list are A and B.